Tb4PmEr after structural relaxation. Source: the Alexandria database, functional PBE-GGA.

a b c (Å): 6.8816 6.8816 9.7704
angles (deg): 90.00 90.00 121.50
Closest atoms and distances in Å follow each position.
Fractional coordinates of all 12 atoms:
Tb 0.1373 0.3457 0.7500  1 Pm 3.10, 1 Tb 3.25, 2 Er 3.25
Tb 0.1534 0.8466 0.5701  8 Tb 3.52-3.93, 3 Pm 3.74-3.80, 2 Er 3.89
Tb 0.1534 0.8466 0.9299  8 Tb 3.52-3.93, 3 Pm 3.74-3.80, 2 Er 3.89
Tb 0.3457 0.1373 0.2500  1 Pm 3.10, 1 Tb 3.25, 2 Er 3.25
Tb 0.6543 0.8627 0.7500  1 Pm 3.10, 1 Tb 3.25, 2 Er 3.25
Tb 0.8466 0.1534 0.0701  8 Tb 3.52-3.93, 3 Pm 3.74-3.80, 2 Er 3.89
Tb 0.8466 0.1534 0.4299  8 Tb 3.52-3.93, 3 Pm 3.74-3.80, 2 Er 3.89
Tb 0.8627 0.6543 0.2500  1 Pm 3.10, 1 Tb 3.25, 2 Er 3.25
Pm 0.3240 0.6760 0.2500  2 Tb 3.10, 2 Er 3.23
Pm 0.6760 0.3240 0.7500  2 Tb 3.10, 2 Er 3.23
Er 0.5000 0.5000 0.0000  2 Pm 3.23, 4 Tb 3.25
Er 0.5000 0.5000 0.5000  2 Pm 3.23, 4 Tb 3.25

Computed properties:
Relative energy among the computed polymorphs: 0.236 eV per atom
Space-group type: Cmcm (63)
Energy of formation from the pure elements: 145 kJ/mol of formula units
Density: 8.0 g/cm³
V: 394.51 Å³ per cell